1.
Computed, not measured: Bi2SbH2Pt7 after structural relaxation at the PBE level of DFT.

Lattice parameters (Å, degrees): 4.088 4.088 12.203 98.61 98.61 87.60
Fractional positions:
Bi 0.218 0.218 0.417
Bi 0.782 0.782 0.583
Sb 0.000 0.000 0.000
H 0.145 0.145 0.745
H 0.855 0.855 0.255
Pt 0.085 0.571 0.169
Pt 0.373 0.373 0.659
Pt 0.429 0.915 0.831
Pt 0.500 0.500 0.000
Pt 0.571 0.085 0.169
Pt 0.627 0.627 0.341
Pt 0.915 0.429 0.831

Summary:
crystal system: monoclinic
SG: C2/m


2.
Computed, not measured: ScBiHPt2 after structural relaxation at the PBE level of DFT.

Lattice parameters (Å, degrees): 4.166 4.166 4.552 90.00 90.00 90.00
Fractional positions:
Sc 0.000 0.000 0.000
Bi 0.500 0.500 0.000
H 0.000 0.000 0.500
Pt 0.000 0.500 0.500
Pt 0.500 0.000 0.500

Summary:
crystal system: tetragonal
SG: P4/mmm


3.
Computed, not measured: Sn2BiHPt after structural relaxation at the PBE level of DFT.

Lattice parameters (Å, degrees): 5.493 5.493 3.567 90.00 90.00 90.00
Fractional positions:
Sn 0.000 0.500 0.000
Sn 0.500 0.000 0.000
Bi 0.000 0.000 0.500
H 0.500 0.500 0.500
Pt 0.500 0.500 0.000

Summary:
crystal system: tetragonal
SG: P4/mmm


4.
Computed, not measured: SnBi2H2Pt7 after structural relaxation at the PBE level of DFT.

Lattice parameters (Å, degrees): 4.067 4.067 12.224 98.93 98.93 88.55
Fractional positions:
Sn 0.000 0.000 0.000
Bi 0.211 0.211 0.416
Bi 0.789 0.789 0.584
H 0.149 0.149 0.749
H 0.851 0.851 0.251
Pt 0.084 0.569 0.168
Pt 0.372 0.372 0.658
Pt 0.431 0.916 0.832
Pt 0.500 0.500 0.000
Pt 0.569 0.084 0.168
Pt 0.628 0.628 0.342
Pt 0.916 0.431 0.832

Summary:
crystal system: monoclinic
SG: C2/m


5.
Computed, not measured: SnBi2HPt after structural relaxation at the PBE level of DFT.

Lattice parameters (Å, degrees): 5.727 5.727 3.456 90.00 90.00 90.00
Fractional positions:
Sn 0.000 0.000 0.000
Bi 0.000 0.500 0.500
Bi 0.500 0.000 0.500
H 0.500 0.500 0.000
Pt 0.500 0.500 0.500

Summary:
crystal system: tetragonal
SG: P4/mmm


6.
Computed, not measured: SrBiH6Pt2 after structural relaxation at the PBE level of DFT.

Lattice parameters (Å, degrees): 6.647 6.647 6.741 106.36 106.36 91.10
Fractional positions:
Sr 0.151 0.849 0.750
Sr 0.849 0.151 0.250
Bi 0.405 0.595 0.250
Bi 0.595 0.405 0.750
H 0.078 0.684 0.313
H 0.128 0.186 0.044
H 0.156 0.560 0.923
H 0.186 0.128 0.544
H 0.316 0.922 0.187
H 0.440 0.844 0.577
H 0.560 0.156 0.423
H 0.684 0.078 0.813
H 0.814 0.872 0.456
H 0.844 0.440 0.077
H 0.872 0.814 0.956
H 0.922 0.316 0.687
Pt 0.181 0.341 0.742
Pt 0.341 0.181 0.242
Pt 0.659 0.819 0.758
Pt 0.819 0.659 0.258

Summary:
crystal system: monoclinic
SG: C2/c


7.
Computed, not measured: Sr2BiHPt after structural relaxation at the PBE level of DFT.

Lattice parameters (Å, degrees): 5.718 5.718 3.746 90.00 90.00 90.00
Fractional positions:
Sr 0.000 0.500 0.000
Sr 0.500 0.000 0.000
Bi 0.000 0.000 0.500
H 0.500 0.500 0.000
Pt 0.500 0.500 0.500

Summary:
crystal system: tetragonal
SG: P4/mmm


8.
Computed, not measured: Bi2TeHPt after structural relaxation at the PBE level of DFT.

Lattice parameters (Å, degrees): 5.579 5.579 3.675 90.00 90.00 90.00
Fractional positions:
Bi 0.000 0.500 0.000
Bi 0.500 0.000 0.000
Te 0.000 0.000 0.500
H 0.500 0.500 0.500
Pt 0.500 0.500 0.000

Summary:
crystal system: tetragonal
SG: P4/mmm


| no. | magnetization (μB/f.u.) | uncorrected energy (eV/atom) |
| --- | --- | --- |
| 1 | 0.0 | -5.178 |
| 2 | 0.0 | -5.537 |
| 3 | 0.0 | -4.310 |
| 4 | 0.0 | -5.236 |
| 5 | 0.0 | -4.249 |
| 6 | 0.0 | -4.002 |
| 7 | 0.0 | -4.007 |
| 8 | 0.0 | -4.088 |